## LiMgRu4 (PBE)

Data for LiMgRu4 after structural relaxation.

abc: 5.1371 5.1371 5.1371
angles: 60.00 60.00 60.00
With the nearest neighbours (Å) after each atom.
Fractional positions:
Ru (0.3752, 0.8745, 0.3752)  6 Ru 2.57
Ru (0.8745, 0.3752, 0.3752)  6 Ru 2.57
Mg (0.0000, 0.0000, 0.0000)  12 Ru 3.01, 4 Li 3.15
Ru (0.3752, 0.3752, 0.3752)  6 Ru 2.57
Li (0.7500, 0.7500, 0.7500)  12 Ru 3.01, 4 Mg 3.15
Ru (0.3752, 0.3752, 0.8745)  6 Ru 2.57

Computed properties:
spin magnetization	2.19	μB/f.u.
raw total energy	-38.7	eV per cell
D(E_F)	8.68	states/eV/f.u.
symmetry	F-43m (216)
calculated volume	15.98	Å³ per atom
energy of formation from the pure elements	0.3170	eV per atom